Entry from the Alexandria database: a geometry-optimized BaGaI structure (PBE).

The space group is Pmmm (No. 47) and the conventional cell measures 4.6320, 5.0706 and 5.2558 Å, with angles of 90.00, 90.00 and 90.00 degrees. Symmetry generates all atoms from Ba at (0.0000, 0.0000, 0.0000), Ga at (0.5000, 0.0000, 0.5000) and I at (0.0000, 0.5000, 0.5000).

The calculation puts the uncorrected energy at -2.73 eV/atom. The uncorrected formation energy comes out at -567 meV/atom.

Entry from the Alexandria database: a geometry-optimized Ba3GaI2 structure (PBE).

The space group is C2/m (No. 12) and the conventional cell measures 8.6723, 14.9923 and 8.9459 Å, with angles of 90.00, 108.72 and 90.00 degrees. Symmetry generates all atoms from Ba at (0.2135, 0.0000, 0.2159), Ba at (0.2466, 0.1795, 0.7790), Ga at (0.0000, 0.1682, 0.0000), I at (0.0000, 0.0000, 0.5000), I at (0.0000, 0.3438, 0.5000) and I at (0.0000, 0.5000, 0.0000).

The calculation puts the uncorrected energy at -3.01 eV/atom. The uncorrected formation energy comes out at -1027 meV/atom.

Entry from the Alexandria database: a geometry-optimized Ba2GaI6 structure (PBE).

The space group is P4_2/mnm (No. 136) and the conventional cell measures 7.7806, 7.7806 and 15.0383 Å, with angles of 90.00, 90.00 and 90.00 degrees. Symmetry generates all atoms from Ba at (0.0000, 0.0000, 0.1664), Ga at (0.0000, 0.0000, 0.5000), I at (0.1860, 0.1860, 0.3530) and I at (0.2195, 0.2195, 0.0000).

The calculation puts the uncorrected energy at -3.01 eV/atom. The uncorrected formation energy comes out at -1210 meV/atom.

Q: Among the records above, which one has the highest uncorrected energy?
A: BaGaI

Q: uncorrected energy of number 2 (Ba3GaI2)?
A: -3.01 eV/atom

Copy entry 3 word for word.
Entry from the Alexandria database: a geometry-optimized Ba2GaI6 structure (PBE).

The space group is P4_2/mnm (No. 136) and the conventional cell measures 7.7806, 7.7806 and 15.0383 Å, with angles of 90.00, 90.00 and 90.00 degrees. Symmetry generates all atoms from Ba at (0.0000, 0.0000, 0.1664), Ga at (0.0000, 0.0000, 0.5000), I at (0.1860, 0.1860, 0.3530) and I at (0.2195, 0.2195, 0.0000).

The calculation puts the uncorrected energy at -3.01 eV/atom. The uncorrected formation energy comes out at -1210 meV/atom.